Here is an optimized crystal structure of ZnFe2Re from Alexandria. Energies are from PBE-GGA.

a = 4.4836 Å, b = 4.4836 Å, c = 4.6758 Å
α = 82.67°, β = 82.67°, γ = 33.87°
With the nearest neighbours (Å) after each atom.
Atoms (fractional coordinates):
Re (0.7500, 0.7500, 0.7500)  6 Fe 2.56-2.64, 2 Re 2.61, 4 Zn 2.68
Fe (0.5000, 0.5000, 0.5063)  3 Re 2.56-2.64, 3 Zn 2.59-2.66, 6 Fe 2.61-2.73
Zn (0.2500, 0.2500, 0.2500)  6 Fe 2.59-2.66, 2 Zn 2.61, 4 Re 2.68
Fe (0.0000, 0.0000, 0.9937)  3 Re 2.56-2.64, 3 Zn 2.59-2.66, 6 Fe 2.61-2.73

Output
Energy = -7.4592 eV/atom
V = 51.9 Å³/cell